Computed, not measured: an optimized crystal structure of PrThPS at the PBE-GGA level of DFT.

a = 4.1203 Å, b = 4.1203 Å, c = 5.8172 Å
α = 90.00°, β = 90.00°, γ = 90.00°
Space group P4/mmm (No. 123)
Symmetry-distinct sites (fractional):
1 Pr 0.0000 0.0000 0.0000 (multiplicity 1)
2 Th 0.5000 0.5000 0.5000 (multiplicity 1)
3 P 0.5000 0.5000 0.0000 (multiplicity 1)
4 S 0.0000 0.0000 0.5000 (multiplicity 1)

Results
Formation energy from raw total energies (eV/atom): -1.73
Final energy (eV per atom): -7.17
Spin magnetization (μB per formula unit): 0.00